# Ca2CuCl

Ca2CuCl at its PBEsol-relaxed geometry (SCAN, Alexandria).

Output
The value obtained for the energy above the most stable polymorph in this dataset is 282 meV/atom. Its raw total energy is -11.250 eV per atom. As for the density of states at the Fermi level: 0.50 states/eV per atom. The total magnetization comes out at 0.00 μB per cell. The calculation puts the theoretical density at 2.96 g cm⁻³. The raw formation energy comes out at -2.50 eV per formula unit.

Cell lengths 4.021, 4.021, 12.427 Å; angles 90.00, 90.00, 90.00 degrees
Space group I-4m2 (No. 119)
Asymmetric unit:
Ca 0.000 0.000 0.000 [2 per cell]
Ca 0.000 0.500 0.250 [2 per cell]
Cu 0.000 0.000 0.500 [2 per cell]
Cl 0.000 0.500 0.750 [2 per cell]